! ZrTiS3 | Alexandria | PBE-GGA | relaxed; values from VASP
! Space group: Pm-3m, No. 221
! Uncorrected formation energy (meV per atom): -356
&SYSTEM
  ibrav = 0, nat = 5, ntyp = 3
/
ATOMIC_SPECIES
S 32.06 S.upf
Zr 91.22 Zr.upf
Ti 47.87 Ti.upf
CELL_PARAMETERS angstrom
-0.536 -3.803 -3.078
-2.890 -2.253 3.287
-3.948 2.165 -1.987
ATOMIC_POSITIONS crystal
S 0.000 0.500 0.000
S 0.000 0.000 0.500
S 0.500 0.000 0.000
Zr 0.000 0.000 0.000
Ti 0.500 0.500 0.500